Below is Sc3UTl4Se8 after structural relaxation, with properties calculated at the PBE-GGA level.

The structure in POSCAR format:
```
Sc3UTl4Se8
1.0
-2.334 1.905 7.463
8.534 -0.972 2.917
-1.147 5.211 -6.029
Sc U Tl Se
3 1 4 8
Direct
0.500 0.500 0.000 Sc
0.500 0.500 0.500 Sc
0.000 0.500 0.500 Sc
0.000 0.500 0.000 U
0.500 0.000 0.000 Tl
0.500 0.000 0.500 Tl
0.000 0.000 0.000 Tl
0.000 0.000 0.500 Tl
0.238 0.699 0.960 Se
0.238 0.699 0.477 Se
0.269 0.308 0.539 Se
0.722 0.699 0.960 Se
0.278 0.301 0.040 Se
0.731 0.692 0.461 Se
0.762 0.301 0.523 Se
0.762 0.301 0.040 Se
```

Output
Total magnetization: 0.19 μB per atom
Calculated total energy: -5.378 eV per atom
Density of states at the Fermi level: 0.526 states/eV/atom
Density: 6.9 Mg/m³